DFT (PBE) results for a relaxed LaY crystal.

```
LaY
1.0
0.000 4.770 6.294
4.730 0.000 6.294
4.730 4.770 0.000
La Y
4 4
Direct
0.040 0.710 0.710 La
0.290 0.960 0.960 La
0.710 0.040 0.040 La
0.960 0.290 0.290 La
0.210 0.540 0.210 Y
0.460 0.790 0.460 Y
0.540 0.210 0.540 Y
0.790 0.460 0.790 Y
```

Total DFT energy (no corrections) = -5.404 eV per atom
Excess energy over the best structure of this formula in the dataset = 287.0 meV/atom
Density of states at the Fermi level = 8.96 states/eV/cell
Formation enthalpy at 0 K = 0.58 eV per formula unit